Entry 1:
La2ScSi: PBEsol geometry, SCAN.

Cell: 7.2592 7.2592 7.2592 Å, 90.00 90.00 90.00°
Last column: nearest neighbours and their distance in Å.
Space group F-43m (No. 216)
One atom of each set of equivalent atoms:
1 La 0.0000 0.0000 0.0000 [4 per cell]  4 La 3.14, 4 Sc 3.14
2 La 0.2500 0.2500 0.2500 [4 per cell]  4 Si 3.14, 4 La 3.14
3 Sc 0.2500 0.2500 0.7500 [4 per cell]  4 La 3.14, 4 Si 3.14
4 Si 0.0000 0.0000 0.5000 [4 per cell]  4 La 3.14, 4 Sc 3.14

- E_form (uncorrected) (eV/atom) = -0.067
- energy (eV/atom) = -27.683
- N(E_F) (states/eV/cell) = 20.94

=====

Entry 2:
LaScSi2: PBEsol geometry, SCAN.

Cell: 3.8029 4.2377 10.7062 Å, 90.00 90.00 90.00°
Last column: nearest neighbours and their distance in Å.
Space group Amm2 (No. 38)
One atom of each set of equivalent atoms:
1 La 0.0000 0.0000 0.0000 [2 per cell]  7 Si 2.97-3.19
2 Sc 0.5000 0.0000 0.2749 [2 per cell]  6 Si 2.90-2.97
3 Si 0.0000 0.0000 0.7229 [2 per cell]  2 Si 2.44
4 Si 0.5000 0.0000 0.5801 [2 per cell]  2 Si 2.44

- E_form (uncorrected) (eV/atom) = -0.702
- excess energy over the best structure of this formula in the dataset (eV per atom) = 0.000
- energy (eV/atom) = -20.046
- N(E_F) (states/eV/cell) = 5.78

=====

Entry 3:
La2ScSi: PBEsol geometry, SCAN.

Cell: 3.8384 3.8384 27.2972 Å, 90.00 90.00 120.00°
Last column: nearest neighbours and their distance in Å.
Space group R-3m (No. 166, hexagonal axes)
One atom of each set of equivalent atoms:
1 La 0.0000 0.0000 0.2382 [6 per cell]  3 Si 2.95
2 Sc 0.0000 0.0000 0.0000 [3 per cell]  6 La 3.41
3 Si 0.0000 0.0000 0.5000 [3 per cell]  6 La 2.95

- E_form (uncorrected) (eV/atom) = -0.028
- energy (eV/atom) = -27.644
- N(E_F) (states/eV/cell) = 13.96

=====

Entry 4:
SrLaSc2: PBEsol geometry, SCAN.

Cell: 3.8155 3.8155 8.9058 Å, 90.00 90.00 90.00°
Last column: nearest neighbours and their distance in Å.
Space group P4mm (No. 99)
One atom of each set of equivalent atoms:
1 Sr 0.0000 0.0000 0.0000 [1 per cell]  5 Sc 3.67-4.00, 4 Sr 3.82, 4 La 3.98
2 La 0.5000 0.5000 0.3287 [1 per cell]  5 Sc 3.35-3.50
3 Sc 0.0000 0.0000 0.5510 [1 per cell]  4 Sc 3.10, 4 La 3.35
4 Sc 0.5000 0.5000 0.7214 [1 per cell]  4 Sc 3.10

- formation energy (eV per atom) = 0.168
- excess energy over the best structure of this formula in the dataset (eV per atom) = 0.000
- energy (eV/atom) = -23.295
- N(E_F) (states/eV/cell) = 4.48

=====

Entry 5:
SrLa3Sc: PBEsol geometry, SCAN.

Cell: 5.8241 5.8241 5.8241 Å, 90.00 90.00 90.00°
Last column: nearest neighbours and their distance in Å.
Space group Pm-3m (No. 221)
One atom of each set of equivalent atoms:
1 Sr 0.0000 0.0000 0.0000 [1 per cell]  12 La 4.12
2 La 0.0000 0.5000 0.5000 [3 per cell]  2 Sc 2.91
3 Sc 0.5000 0.5000 0.5000 [1 per cell]  6 La 2.91

- formation energy (eV per atom) = 0.373
- energy (eV/atom) = -32.793
- N(E_F) (states/eV/cell) = 5.69

=====

Entry 6:
SrLaSc2: PBEsol geometry, SCAN.

Cell: 7.9255 7.9255 7.9255 Å, 90.00 90.00 90.00°
Last column: nearest neighbours and their distance in Å.
Space group F-43m (No. 216)
One atom of each set of equivalent atoms:
1 Sr 0.0000 0.0000 0.0000 [4 per cell]  4 La 3.43, 4 Sc 3.43
2 La 0.2500 0.2500 0.2500 [4 per cell]  4 Sc 3.43, 4 Sr 3.43
3 Sc 0.0000 0.0000 0.5000 [4 per cell]  4 La 3.43, 4 Sc 3.43
4 Sc 0.2500 0.2500 0.7500 [4 per cell]  4 Sc 3.43, 4 Sr 3.43

- formation energy (eV per atom) = 0.309
- excess energy over the best structure of this formula in the dataset (eV per atom) = 0.141
- energy (eV/atom) = -23.155
- N(E_F) (states/eV/cell) = 19.54

=====

Entry 7:
SrLaSc2: PBEsol geometry, SCAN.

Cell: 3.4707 5.4163 6.9445 Å, 90.00 104.34 90.00°
Last column: nearest neighbours and their distance in Å.
Space group Pm (No. 6)
One atom of each set of equivalent atoms:
1 Sr 0.0000 0.0000 0.0000 [1 per cell]  2 Sr 3.47, 7 Sc 3.56-3.61
2 La 0.6686 0.5000 0.3317 [1 per cell]  6 Sc 3.34-3.48, 2 La 3.47
3 Sc 0.2671 0.0000 0.5291 [1 per cell]  4 Sc 3.11-3.47, 2 La 3.48
4 Sc 0.3778 0.5000 0.7554 [1 per cell]  4 Sc 3.11-3.47, 2 La 3.34

- formation energy (eV per atom) = 0.237
- excess energy over the best structure of this formula in the dataset (eV per atom) = 0.069
- energy (eV/atom) = -23.227
- N(E_F) (states/eV/cell) = 5.05

=====

Entry 8:
LaSc3Ta: PBEsol geometry, SCAN.

Cell: 5.1696 5.1696 5.1696 Å, 90.00 90.00 90.00°
Last column: nearest neighbours and their distance in Å.
Space group Pm-3m (No. 221)
One atom of each set of equivalent atoms:
1 La 0.0000 0.0000 0.0000 [1 per cell]  12 Sc 3.66
2 Sc 0.0000 0.5000 0.5000 [3 per cell]  2 Ta 2.58
3 Ta 0.5000 0.5000 0.5000 [1 per cell]  6 Sc 2.58

- formation energy (eV per atom) = 0.453
- energy (eV/atom) = -30.027
- N(E_F) (states/eV/cell) = 5.73

=====

Entry 9:
LaScTc2: PBEsol geometry, SCAN.

Cell: 3.1478 4.1182 6.0339 Å, 90.00 90.00 90.00°
Last column: nearest neighbours and their distance in Å.
Space group Pmm2 (No. 25)
One atom of each set of equivalent atoms:
1 La 0.0000 0.0000 0.0000 [1 per cell]  1 Tc 2.54
2 Sc 0.5000 0.5000 0.3582 [1 per cell]  1 Tc 2.34
3 Tc 0.0000 0.0000 0.5795 [1 per cell]  1 La 2.54, 4 Tc 2.78
4 Tc 0.5000 0.5000 0.7455 [1 per cell]  1 Sc 2.34

- formation energy (eV per atom) = 0.265
- energy (eV/atom) = -31.600
- N(E_F) (states/eV/cell) = 3.05

=====

Entry 10:
LaSc2Tc: PBEsol geometry, SCAN.

Cell: 4.5946 4.6052 8.6565 Å, 90.00 90.00 90.00°
Last column: nearest neighbours and their distance in Å.
Space group Cmmm (No. 65)
One atom of each set of equivalent atoms:
1 La 0.0000 0.0000 0.0000 [2 per cell]  4 La 3.25, 8 Sc 3.64
2 Sc 0.0000 0.5000 0.3257 [4 per cell]  4 Tc 2.75, 1 Sc 3.02
3 Tc 0.0000 0.0000 0.5000 [2 per cell]  8 Sc 2.75

- formation energy (eV per atom) = -0.130
- excess energy over the best structure of this formula in the dataset (eV per atom) = 0.000
- energy (eV/atom) = -26.790
- N(E_F) (states/eV/cell) = 10.92

=====

Entry 11:
LaSc2Tc: PBEsol geometry, SCAN.

Cell: 4.1811 4.1811 4.8645 Å, 90.00 90.00 90.00°
Last column: nearest neighbours and their distance in Å.
Space group P4/mmm (No. 123)
One atom of each set of equivalent atoms:
1 La 0.0000 0.0000 0.0000 [1 per cell]  4 Tc 2.96, 8 Sc 3.21
2 Sc 0.0000 0.5000 0.5000 [2 per cell]  4 Sc 2.96, 4 La 3.21, 4 Tc 3.21
3 Tc 0.5000 0.5000 0.0000 [1 per cell]  4 La 2.96, 8 Sc 3.21

- formation energy (eV per atom) = 0.208
- excess energy over the best structure of this formula in the dataset (eV per atom) = 0.338
- energy (eV/atom) = -26.451
- N(E_F) (states/eV/cell) = 3.65

=====

Entry 12:
LaScTe2: PBEsol geometry, SCAN.

Cell: 7.4914 7.4914 7.4914 Å, 90.00 90.00 90.00°
Last column: nearest neighbours and their distance in Å.
Space group Fm-3m (No. 225)
One atom of each set of equivalent atoms:
1 La 0.0000 0.0000 0.0000 [4 per cell]  8 Te 3.24
2 Sc 0.0000 0.0000 0.5000 [4 per cell]  8 Te 3.24
3 Te 0.2500 0.2500 0.2500 [8 per cell]  4 La 3.24, 4 Sc 3.24

- E_form (uncorrected) (eV/atom) = -1.288
- excess energy over the best structure of this formula in the dataset (eV per atom) = 0.169
- energy (eV/atom) = -34.249
- N(E_F) (states/eV/cell) = 4.90